1.
VASP calculation (PBE) on a relaxed SrTiNi crystal. Values from VASP.

```
&SYSTEM
  ibrav = 0, nat = 6, ntyp = 3
/
ATOMIC_SPECIES
Ni 58.69 Ni.upf
Sr 87.62 Sr.upf
Ti 47.87 Ti.upf
CELL_PARAMETERS angstrom
-3.647 -0.787 -2.776
1.044 -1.399 2.921
-6.292 7.892 6.028
ATOMIC_POSITIONS angstrom
Ni -2.038 -0.888 -0.966
Ni -3.468 3.205 3.648
Sr -4.291 1.559 1.300
Sr -6.291 4.067 3.216
Ti -5.982 6.369 6.053
Ti -0.948 0.055 1.230
```

Results
total moment	0.00	μB per cell
SG	Amm2
DFT formation energy	0.83	eV per formula unit


2.
VASP calculation (PBE) on a relaxed BeCoCu3 crystal. Values from VASP.

```
&SYSTEM
  ibrav = 0, nat = 5, ntyp = 3
/
ATOMIC_SPECIES
Be 9.01 Be.upf
Co 58.93 Co.upf
Cu 63.55 Cu.upf
CELL_PARAMETERS angstrom
-3.505 1.700 -0.698
-1.275 -3.332 -1.713
-1.324 -1.292 3.499
ATOMIC_POSITIONS angstrom
Be 0.000 0.000 0.000
Co -3.052 -1.462 0.544
Cu -0.638 -1.666 -0.856
Cu -0.662 -0.646 1.749
Cu -1.752 0.850 -0.349
```

Results
total moment	1.75	μB per cell
SG	Pm-3m
DFT formation energy	3.08	eV per formula unit


What is the formula in the second record?
BeCoCu3